DFT (GGA-PBE) results for a geometry-optimized CsSbPd2Pb structure.

Total energy   -0.153 hartree per atom
Crystal system   monoclinic
Density of states at the Fermi level   3.3 states/eV/cell
SG   P2_1/m, No. 11
Formation energy without anion corrections   -336 meV/atom

a = 7.9597 Å, b = 4.6990 Å, c = 10.0226 Å
α = 90.00°, β = 112.79°, γ = 90.00°
With the nearest neighbours (Å) after each atom.
Positions (direct):
Cs1 0.2317 0.2500 0.2815  2 Pd 3.59-3.97, 1 Sb 3.83, 1 Pb 3.93
Cs2 0.7683 0.7500 0.7185  2 Pd 3.59-3.97, 1 Sb 3.83, 1 Pb 3.93
Sb1 0.2526 0.7500 0.6208  4 Pd 2.64-2.68
Sb2 0.7474 0.2500 0.3792  4 Pd 2.64-2.68
Pd1 0.0889 0.2500 0.5801  3 Sb 2.64-2.68, 1 Pb 2.84, 2 Pd 2.89
Pd2 0.4149 0.7500 0.9093  1 Sb 2.67, 3 Pb 2.76-2.81, 2 Pd 2.96
Pd3 0.5851 0.2500 0.0907  1 Sb 2.67, 3 Pb 2.76-2.81, 2 Pd 2.96
Pd4 0.9111 0.7500 0.4199  3 Sb 2.64-2.68, 1 Pb 2.84, 2 Pd 2.89
Pb1 0.2242 0.2500 0.8869  4 Pd 2.76-2.84
Pb2 0.7758 0.7500 0.1131  4 Pd 2.76-2.84